[1]
Density functional theory data (GGA-PBE) for MgIr2BrO after structural relaxation.

Calculated values
- N(E_F) (states/eV/f.u.) = 5.900
- calculated total energy (eV/atom) = -4.024
- energy relative to the elements, uncorrected (eV per atom) = 1.17

Geometry as CIF:
```
data_MgIr2BrO
_chemical_formula_sum 'Mg1 Ir2 Br1 O1'
_symmetry_space_group_name_H-M 'P 4/m m m'
_symmetry_Int_Tables_number 123
_symmetry_space_group_name_Hall '-P 4 2'
_cell_length_a 4.698
_cell_length_b 4.698
_cell_length_c 4.013
_cell_angle_alpha 90.00
_cell_angle_beta 90.00
_cell_angle_gamma 90.00
loop_
_atom_site_label
_atom_site_type_symbol
_atom_site_fract_x
_atom_site_fract_y
_atom_site_fract_z
Mg1 Mg 0.000 0.000 0.000
Ir1 Ir 0.000 0.500 0.500
Br1 Br 0.500 0.500 0.500
O1 O 0.500 0.500 0.000
```

---

[2]
Density functional theory data (GGA-PBE) for Th2Ge4Os3 after structural relaxation.

Calculated values
- distance to the lowest polymorph of the same formula (meV per atom) = 0.0
- N(E_F) (states/eV/f.u.) = 5.853
- formation energy from the elements (meV per atom) = -419
- calculated total energy (eV/atom) = -7.863

Geometry as CIF:
```
data_Th2Ge4Os3
_chemical_formula_sum 'Th8 Ge16 Os12'
_symmetry_space_group_name_H-M 'C m c e'
_symmetry_Int_Tables_number 64
_symmetry_space_group_name_Hall '-C 2ac 2'
_cell_length_a 5.939
_cell_length_b 15.058
_cell_length_c 7.495
_cell_angle_alpha 90.00
_cell_angle_beta 90.00
_cell_angle_gamma 90.00
loop_
_atom_site_label
_atom_site_type_symbol
_atom_site_fract_x
_atom_site_fract_y
_atom_site_fract_z
Th1 Th 0.000 0.115 0.088
Ge1 Ge 0.000 0.180 0.478
Ge2 Ge 0.250 0.056 0.750
Os1 Os 0.000 0.000 0.500
Os2 Os 0.250 0.226 0.750
```

---

[3]
Density functional theory data (GGA-PBE) for InCu2Te after structural relaxation.

Calculated values
- distance to the lowest polymorph of the same formula (meV per atom) = 174.6
- N(E_F) (states/eV/f.u.) = 1.645
- calculated total energy (eV/atom) = -3.289
- energy relative to the elements, uncorrected (eV per atom) = 0.23

Geometry as CIF:
```
data_InCu2Te
_chemical_formula_sum 'In2 Cu4 Te2'
_symmetry_space_group_name_H-M 'C 1 2/m 1'
_symmetry_Int_Tables_number 12
_symmetry_space_group_name_Hall '-C 2y'
_cell_length_a 6.439
_cell_length_b 6.491
_cell_length_c 4.164
_cell_angle_alpha 90.00
_cell_angle_beta 108.20
_cell_angle_gamma 90.00
loop_
_atom_site_label
_atom_site_type_symbol
_atom_site_fract_x
_atom_site_fract_y
_atom_site_fract_z
In1 In 0.000 0.000 0.000
Cu1 Cu 0.250 0.250 0.500
Te1 Te 0.000 0.500 0.000
```

---

- Which of these has the lowest calculated total energy?
  Th2Ge4Os3